(1)
LiFeAg (PBE-GGA, relaxed); space group = I4mm; energy of formation from the pure elements = 0.75 eV per formula unit
1.0
-3.644 -5.295 -0.111
-0.032 -6.418 0.373
1.619 5.967 1.760
Ag Fe Li
1 1 1
Cartesian
-3.675 -11.709 0.262
-1.216 -3.874 0.087
-2.461 -7.841 0.175

(2)
Li2FeAgN (PBE-GGA, relaxed); formation energy (no corrections) = -195 meV/atom; space group = P4/mmm
1.0
4.090 0.000 0.000
0.000 4.090 0.000
0.000 0.000 3.550
Li Fe Ag N
2 1 1 1
Cartesian
0.000 2.045 0.000
2.045 0.000 0.000
0.000 0.000 1.775
2.045 2.045 1.775
0.000 0.000 0.000

(3)
LiFe2AgN (PBE-GGA, relaxed); formation energy (no corrections) = -93 meV/atom; space group = P4/mmm
1.0
3.705 0.000 0.000
0.000 3.705 0.000
0.000 0.000 4.241
Li Fe Ag N
1 2 1 1
Cartesian
0.000 0.000 2.121
0.000 1.852 0.000
1.852 0.000 0.000
1.852 1.852 2.121
0.000 0.000 0.000

no.,volume (Å³ per cell)
1,44.6
2,59.4
3,58.2